Density functional theory data (GGA-PBE) for an optimized crystal structure of GaFe2Rh8.

Output
The calculation puts the calculated volume at 14.21 Å³ per atom. The space group is No. 71. The value obtained for the density is 10.68 g/cm³. The formation energy comes out at -0.0200 eV/atom. Its energy is -7.1804 eV/atom.

Unit cell a=6.9282 b=6.9282 c=6.9282 alpha=146.24 beta=120.87 gamma=69.85
Last column: nearest neighbours and their distance in Å.
Fractional coordinates of all 11 atoms:
Ga: 0.0000 0.0000 0.0000  8 Rh 2.59-2.65
Fe: 0.3010 0.3010 0.0000  10 Rh 2.53-2.69
Fe: 0.6990 0.6990 0.0000  10 Rh 2.53-2.69
Rh: 0.1304 0.8433 0.2871  3 Fe 2.53-2.56, 1 Ga 2.65, 5 Rh 2.69-2.81
Rh: 0.1442 0.6442 0.5000  2 Ga 2.59, 2 Fe 2.69, 8 Rh 2.69-2.81
Rh: 0.3127 0.5000 0.8127  7 Rh 2.56-2.69, 2 Fe 2.60
Rh: 0.4438 0.1567 0.2871  3 Fe 2.53-2.56, 1 Ga 2.65, 5 Rh 2.69-2.81
Rh: 0.5562 0.8433 0.7129  3 Fe 2.53-2.56, 1 Ga 2.65, 5 Rh 2.69-2.81
Rh: 0.6873 0.5000 0.1873  7 Rh 2.56-2.69, 2 Fe 2.60
Rh: 0.8558 0.3558 0.5000  2 Ga 2.59, 2 Fe 2.69, 8 Rh 2.69-2.81
Rh: 0.8696 0.1567 0.7129  3 Fe 2.53-2.56, 1 Ga 2.65, 5 Rh 2.69-2.81


Density functional theory data (GGA-PBE) for an optimized crystal structure of Ga3FeRh.

Output
The calculation puts the calculated volume at 17.40 Å³ per atom. The space group is No. 221. The value obtained for the density is 7.02 g/cm³. The formation energy comes out at 0.3414 eV/atom. Its energy is -4.6375 eV/atom.

Unit cell a=4.4313 b=4.4313 c=4.4313 alpha=90.00 beta=90.00 gamma=90.00
Last column: nearest neighbours and their distance in Å.
Fractional coordinates of all 5 atoms:
Ga: 0.0000 0.0000 0.5000  2 Fe 2.22
Ga: 0.0000 0.5000 0.0000  2 Fe 2.22
Ga: 0.5000 0.0000 0.0000  2 Fe 2.22
Fe: 0.0000 0.0000 0.0000  6 Ga 2.22
Rh: 0.5000 0.5000 0.5000  12 Ga 3.13


Density functional theory data (GGA-PBE) for an optimized crystal structure of Ga2FeRh4.

Output
The calculation puts the calculated volume at 17.75 Å³ per atom. The space group is No. 139. The value obtained for the density is 8.11 g/cm³. The formation energy comes out at 0.5041 eV/atom. Its energy is -5.7705 eV/atom.

Unit cell a=4.4712 b=4.4712 c=12.4328 alpha=90.00 beta=90.00 gamma=90.00
Last column: nearest neighbours and their distance in Å.
Fractional coordinates of all 14 atoms:
Ga: 0.0000 0.0000 0.1187  5 Rh 2.41-2.68
Ga: 0.0000 0.0000 0.8813  5 Rh 2.41-2.68
Ga: 0.5000 0.5000 0.3813  5 Rh 2.41-2.68
Ga: 0.5000 0.5000 0.6187  5 Rh 2.41-2.68
Fe: 0.0000 0.0000 0.5000  6 Rh 2.24-2.33
Fe: 0.5000 0.5000 0.0000  6 Rh 2.24-2.33
Rh: 0.0000 0.0000 0.3128  1 Fe 2.33, 1 Ga 2.41
Rh: 0.0000 0.0000 0.6872  1 Fe 2.33, 1 Ga 2.41
Rh: 0.0000 0.5000 0.0000  2 Fe 2.24
Rh: 0.0000 0.5000 0.5000  2 Fe 2.24
Rh: 0.5000 0.0000 0.0000  2 Fe 2.24
Rh: 0.5000 0.0000 0.5000  2 Fe 2.24
Rh: 0.5000 0.5000 0.1872  1 Fe 2.33, 1 Ga 2.41
Rh: 0.5000 0.5000 0.8128  1 Fe 2.33, 1 Ga 2.41


Density functional theory data (GGA-PBE) for an optimized crystal structure of Ga4FeRh3.

Output
The calculation puts the calculated volume at 13.46 Å³ per atom. The space group is No. 123. The value obtained for the density is 9.92 g/cm³. The formation energy comes out at -0.5402 eV/atom. Its energy is -5.8683 eV/atom.

Unit cell a=2.9992 b=2.9992 c=11.9749 alpha=90.00 beta=90.00 gamma=90.00
Last column: nearest neighbours and their distance in Å.
Fractional coordinates of all 8 atoms:
Ga: 0.0000 0.0000 0.1127  4 Fe 2.51, 4 Rh 2.65, 1 Ga 2.70
Ga: 0.0000 0.0000 0.3708  8 Rh 2.60-2.63
Ga: 0.0000 0.0000 0.6292  8 Rh 2.60-2.63
Ga: 0.0000 0.0000 0.8873  4 Fe 2.51, 4 Rh 2.65, 1 Ga 2.70
Fe: 0.5000 0.5000 0.0000  8 Ga 2.51
Rh: 0.5000 0.5000 0.2457  8 Ga 2.60-2.65
Rh: 0.5000 0.5000 0.5000  8 Ga 2.63
Rh: 0.5000 0.5000 0.7543  8 Ga 2.60-2.65


Density functional theory data (GGA-PBE) for an optimized crystal structure of GaFe3Rh.

Output
The calculation puts the calculated volume at 16.40 Å³ per atom. The space group is No. 221. The value obtained for the density is 6.89 g/cm³. The formation energy comes out at 1.0997 eV/atom. Its energy is -6.0536 eV/atom.

Unit cell a=4.3449 b=4.3449 c=4.3449 alpha=90.00 beta=90.00 gamma=90.00
Last column: nearest neighbours and their distance in Å.
Fractional coordinates of all 5 atoms:
Ga: 0.0000 0.0000 0.0000  6 Fe 2.17
Fe: 0.0000 0.0000 0.5000  2 Ga 2.17
Fe: 0.0000 0.5000 0.0000  2 Ga 2.17
Fe: 0.5000 0.0000 0.0000  2 Ga 2.17
Rh: 0.5000 0.5000 0.5000  12 Fe 3.07


Density functional theory data (GGA-PBE) for an optimized crystal structure of Ga2FeRh4.

Output
The calculation puts the calculated volume at 14.85 Å³ per atom. The space group is No. 139. The value obtained for the density is 9.69 g/cm³. The formation energy comes out at -0.2640 eV/atom. Its energy is -6.5386 eV/atom.

Unit cell a=5.8913 b=5.8913 c=5.9911 alpha=90.00 beta=90.00 gamma=90.00
Last column: nearest neighbours and their distance in Å.
Fractional coordinates of all 14 atoms:
Ga: 0.0000 0.5000 0.0000  8 Rh 2.57
Ga: 0.0000 0.5000 0.5000  8 Rh 2.57
Ga: 0.5000 0.0000 0.0000  8 Rh 2.57
Ga: 0.5000 0.0000 0.5000  8 Rh 2.57
Fe: 0.0000 0.0000 0.0000  8 Rh 2.57
Fe: 0.5000 0.5000 0.5000  8 Rh 2.57
Rh: 0.2500 0.2500 0.2500  2 Fe 2.57, 4 Ga 2.57
Rh: 0.2500 0.2500 0.7500  2 Fe 2.57, 4 Ga 2.57
Rh: 0.2500 0.7500 0.2500  2 Fe 2.57, 4 Ga 2.57
Rh: 0.2500 0.7500 0.7500  2 Fe 2.57, 4 Ga 2.57
Rh: 0.7500 0.2500 0.2500  2 Fe 2.57, 4 Ga 2.57
Rh: 0.7500 0.2500 0.7500  2 Fe 2.57, 4 Ga 2.57
Rh: 0.7500 0.7500 0.2500  2 Fe 2.57, 4 Ga 2.57
Rh: 0.7500 0.7500 0.7500  2 Fe 2.57, 4 Ga 2.57


Density functional theory data (GGA-PBE) for an optimized crystal structure of GaFeRh2.

Output
The calculation puts the calculated volume at 13.78 Å³ per atom. The space group is No. 123. The value obtained for the density is 9.98 g/cm³. The formation energy comes out at -0.4009 eV/atom. Its energy is -6.9490 eV/atom.

Unit cell a=4.2668 b=4.2668 c=3.0271 alpha=90.00 beta=90.00 gamma=90.00
Last column: nearest neighbours and their distance in Å.
Fractional coordinates of all 4 atoms:
Ga: 0.0000 0.0000 0.0000  8 Rh 2.62
Fe: 0.5000 0.5000 0.0000  8 Rh 2.62
Rh: 0.0000 0.5000 0.5000  4 Fe 2.62, 4 Ga 2.62
Rh: 0.5000 0.0000 0.5000  4 Fe 2.62, 4 Ga 2.62


Density functional theory data (GGA-PBE) for an optimized crystal structure of Ga2FeRh.

Output
The calculation puts the calculated volume at 15.26 Å³ per atom. The space group is No. 122. The value obtained for the density is 8.11 g/cm³. The formation energy comes out at 0.0361 eV/atom. Its energy is -5.4308 eV/atom.

Unit cell a=6.7320 b=6.7320 c=5.3868 alpha=90.00 beta=90.00 gamma=90.00
Last column: nearest neighbours and their distance in Å.
Fractional coordinates of all 16 atoms:
Ga: 0.2480 0.7500 0.1250  2 Fe 2.46, 2 Rh 2.48, 2 Ga 2.69
Ga: 0.2500 0.2480 0.8750  2 Fe 2.46, 2 Rh 2.48, 2 Ga 2.69
Ga: 0.2500 0.2520 0.3750  2 Fe 2.46, 2 Rh 2.48, 2 Ga 2.69
Ga: 0.2520 0.7500 0.6250  2 Fe 2.46, 2 Rh 2.48, 2 Ga 2.69
Ga: 0.7480 0.2500 0.6250  2 Fe 2.46, 2 Rh 2.48, 2 Ga 2.69
Ga: 0.7500 0.7480 0.3750  2 Fe 2.46, 2 Rh 2.48, 2 Ga 2.69
Ga: 0.7500 0.7520 0.8750  2 Fe 2.46, 2 Rh 2.48, 2 Ga 2.69
Ga: 0.7520 0.2500 0.1250  2 Fe 2.46, 2 Rh 2.48, 2 Ga 2.69
Fe: 0.0000 0.0000 0.0000  4 Ga 2.46, 2 Rh 2.69
Fe: 0.0000 0.5000 0.2500  4 Ga 2.46, 2 Rh 2.69
Fe: 0.5000 0.0000 0.7500  4 Ga 2.46, 2 Rh 2.69
Fe: 0.5000 0.5000 0.5000  4 Ga 2.46, 2 Rh 2.69
Rh: 0.0000 0.0000 0.5000  4 Ga 2.48, 2 Fe 2.69
Rh: 0.0000 0.5000 0.7500  4 Ga 2.48, 2 Fe 2.69
Rh: 0.5000 0.0000 0.2500  4 Ga 2.48, 2 Fe 2.69
Rh: 0.5000 0.5000 0.0000  4 Ga 2.48, 2 Fe 2.69